Below is a geometry-optimized Cs2ScRe2 structure, with properties calculated at the GGA-PBE level.

Crystal system = tetragonal
Energy of formation from the pure elements = 1.458 eV/atom

Lattice parameters (Å, degrees): 6.9297 6.9297 6.4074 90.00 90.00 90.00
With the nearest neighbours (Å) after each atom.
Space group P4/mbm (No. 127)
Inequivalent atoms, fractional coordinates:
Cs: 0.1800 0.3200 0.0000 (multiplicity 4)  5 Cs 3.53-3.60, 6 Re 3.77-3.83
Sc: 0.0000 0.0000 0.5000 (multiplicity 2)  4 Re 2.77
Re: 0.1177 0.6177 0.5000 (multiplicity 4)  1 Re 2.31

Below is a geometry-optimized Pm3CF3 structure, with properties calculated at the GGA-PBE level.

Crystal system = trigonal
E_form (uncorrected) = -16.60 eV per formula unit

Lattice parameters (Å, degrees): 6.6086 6.6086 20.0387 90.00 90.00 120.00
With the nearest neighbours (Å) after each atom.
Space group R-3 (No. 148, hexagonal axes)
Inequivalent atoms, fractional coordinates:
Pm: 0.0011 0.3566 0.4269 (multiplicity 18)  4 F 2.45-2.64, 2 C 2.58-2.59
C: 0.0000 0.0000 0.1667 (multiplicity 6)  6 Pm 2.58-2.59
F: 0.0060 0.3174 0.6289 (multiplicity 18)  4 Pm 2.45-2.64, 3 F 2.63-2.70

Below is a geometry-optimized Sc2Hg2Ge structure, with properties calculated at the GGA-PBE level.

Crystal system = tetragonal
Excess energy over the best structure of this formula in the dataset = 0.000 eV per atom
Energy of formation from the pure elements = -0.263 eV/atom

Lattice parameters (Å, degrees): 7.2210 7.2210 4.4139 90.00 90.00 90.00
With the nearest neighbours (Å) after each atom.
Space group P4/mbm (No. 127)
Inequivalent atoms, fractional coordinates:
Sc: 0.1589 0.3411 0.0000 (multiplicity 4)  2 Ge 2.72, 2 Hg 2.96
Hg: 0.1485 0.6485 0.5000 (multiplicity 4)  6 Sc 2.96-3.13, 1 Hg 3.03
Ge: 0.0000 0.0000 0.0000 (multiplicity 2)  4 Sc 2.72

Below is a geometry-optimized RbY2Ta structure, with properties calculated at the GGA-PBE level.

Crystal system = cubic
Excess energy over the best structure of this formula in the dataset = 0.000 eV per atom
Energy of formation from the pure elements = 1.055 eV/atom

Lattice parameters (Å, degrees): 7.8474 7.8474 7.8474 90.00 90.00 90.00
With the nearest neighbours (Å) after each atom.
Space group Fm-3m (No. 225)
Inequivalent atoms, fractional coordinates:
Rb: 0.0000 0.0000 0.0000 (multiplicity 4)  8 Y 3.40
Y: 0.2500 0.2500 0.2500 (multiplicity 8)  4 Ta 3.40, 4 Rb 3.40
Ta: 0.0000 0.0000 0.5000 (multiplicity 4)  8 Y 3.40

Below is a geometry-optimized K4TmBi3O12 structure, with properties calculated at the GGA-PBE level.

Crystal system = cubic
E_form (uncorrected) = -26.58 eV per formula unit

Lattice parameters (Å, degrees): 8.5876 8.5876 8.5876 90.00 90.00 90.00
With the nearest neighbours (Å) after each atom.
Space group Im-3m (No. 229)
Inequivalent atoms, fractional coordinates:
K: 0.2500 0.2500 0.2500 (multiplicity 8)  12 O 3.04
Tm: 0.0000 0.0000 0.0000 (multiplicity 2)  6 O 2.21
Bi: 0.0000 0.0000 0.5000 (multiplicity 6)  6 O 2.09-2.15
O: 0.0000 0.0000 0.2570 (multiplicity 12)  1 Bi 2.09, 1 Tm 2.21
O: 0.0000 0.2500 0.5000 (multiplicity 12)  2 Bi 2.15

Below is a geometry-optimized LiYSiAs2 structure, with properties calculated at the GGA-PBE level.

Crystal system = tetragonal
E_form (uncorrected) = 0.70 eV per formula unit

Lattice parameters (Å, degrees): 4.4180 4.4180 5.2320 90.00 90.00 90.00
With the nearest neighbours (Å) after each atom.
Space group P4/mmm (No. 123)
Inequivalent atoms, fractional coordinates:
Li: 0.0000 0.0000 0.0000 (multiplicity 1)  4 As 2.21
Y: 0.0000 0.0000 0.5000 (multiplicity 1)  2 Li 2.62
Si: 0.5000 0.5000 0.5000 (multiplicity 1)  4 Y 3.12, 8 As 3.42
As: 0.0000 0.5000 0.0000 (multiplicity 2)  2 Li 2.21

Below is a geometry-optimized Na2La2I2Br5 structure, with properties calculated at the GGA-PBE level.

Crystal system = tetragonal
E_form (uncorrected) = -16.90 eV per formula unit

Lattice parameters (Å, degrees): 5.9796 5.9796 27.0611 90.00 90.00 90.00
With the nearest neighbours (Å) after each atom.
Space group I4/mmm (No. 139)
Inequivalent atoms, fractional coordinates:
Na: 0.0000 0.0000 0.1630 (multiplicity 4)  1 I 3.06, 4 Br 3.26
La: 0.0000 0.0000 0.3904 (multiplicity 4)  5 Br 2.97-2.99, 1 I 3.09
I: 0.0000 0.0000 0.2761 (multiplicity 4)  1 Na 3.06, 1 La 3.09
Br: 0.0000 0.0000 0.5000 (multiplicity 2)  2 La 2.97
Br: 0.0000 0.5000 0.1148 (multiplicity 8)  2 La 2.99, 2 Na 3.26

Below is a geometry-optimized Si2Pb2I structure, with properties calculated at the GGA-PBE level.

Crystal system = tetragonal
Excess energy over the best structure of this formula in the dataset = 0.290 eV per atom
E_form (uncorrected) = 1.97 eV per formula unit

Lattice parameters (Å, degrees): 8.8483 8.8483 3.7763 90.00 90.00 90.00
With the nearest neighbours (Å) after each atom.
Space group P4/mbm (No. 127)
Inequivalent atoms, fractional coordinates:
Si: 0.0930 0.4070 0.0000 (multiplicity 4)  1 Si 2.33
Pb: 0.1867 0.6867 0.5000 (multiplicity 4)  6 Si 3.22-3.34, 2 I 3.23
I: 0.0000 0.0000 0.5000 (multiplicity 2)  4 Pb 3.23

Below is a geometry-optimized ReW structure, with properties calculated at the GGA-PBE level.

Crystal system = monoclinic
Excess energy over the best structure of this formula in the dataset = 0.023 eV per atom
Energy of formation from the pure elements = 0.115 eV/atom

Lattice parameters (Å, degrees): 9.8926 3.1571 6.3480 90.00 109.07 90.00
With the nearest neighbours (Å) after each atom.
Space group C2/m (No. 12)
Inequivalent atoms, fractional coordinates:
Re: 0.0000 0.0000 0.0000 (multiplicity 2)  4 W 2.71, 4 Re 2.78
Re: 0.1712 0.5000 0.8286 (multiplicity 4)  4 W 2.71-2.72, 4 Re 2.73-2.78
W: 0.0000 0.0000 0.5000 (multiplicity 2)  4 W 2.71, 4 Re 2.72
W: 0.1633 0.5000 0.3334 (multiplicity 4)  4 Re 2.71, 4 W 2.71-2.75

Below is a geometry-optimized TlIn4Br5 structure, with properties calculated at the GGA-PBE level.

Crystal system = tetragonal
E_form (uncorrected) = -6.89 eV per formula unit

Lattice parameters (Å, degrees): 10.5858 10.5858 6.6965 90.00 90.00 90.00
With the nearest neighbours (Å) after each atom.
Space group I4 (No. 79)
Inequivalent atoms, fractional coordinates:
Tl: 0.0000 0.0000 0.0000 (multiplicity 2)  6 Br 3.35-3.37
In: 0.1011 0.6999 0.4983 (multiplicity 8)  6 Br 3.33-3.35
Br: 0.0000 0.0000 0.5000 (multiplicity 2)  2 Tl 3.35, 4 In 3.35
Br: 0.1003 0.6978 0.9981 (multiplicity 8)  5 In 3.33-3.35, 1 Tl 3.37

Below is a geometry-optimized LaY3Ru structure, with properties calculated at the GGA-PBE level.

Crystal system = tetragonal
Excess energy over the best structure of this formula in the dataset = 0.370 eV per atom
Energy of formation from the pure elements = 0.184 eV/atom

Lattice parameters (Å, degrees): 5.8240 5.8240 20.0390 90.00 90.00 90.00
With the nearest neighbours (Å) after each atom.
Space group I-4m2 (No. 119)
Inequivalent atoms, fractional coordinates:
La: 0.0000 0.0000 0.2155 (multiplicity 4)  2 Ru 2.99
Y: 0.0000 0.2502 0.3783 (multiplicity 8)  2 Ru 2.84-2.95, 2 Y 2.91
Y: 0.0000 0.5000 0.5351 (multiplicity 4)  2 Ru 3.00
Ru: 0.0000 0.0000 0.5000 (multiplicity 2)  8 Y 2.84-3.00
Ru: 0.0000 0.5000 0.2500 (multiplicity 2)  4 Y 2.95, 4 La 2.99

Below is a geometry-optimized YZrCdPb structure, with properties calculated at the GGA-PBE level.

Crystal system = cubic
Energy of formation from the pure elements = -0.173 eV/atom

Lattice parameters (Å, degrees): 7.3538 7.3538 7.3538 90.00 90.00 90.00
With the nearest neighbours (Å) after each atom.
Space group F-43m (No. 216)
Inequivalent atoms, fractional coordinates:
Y: 0.0000 0.0000 0.0000 (multiplicity 4)  4 Cd 3.18, 4 Pb 3.18
Zr: 0.0000 0.0000 0.5000 (multiplicity 4)  4 Cd 3.18, 4 Pb 3.18
Cd: 0.2500 0.2500 0.2500 (multiplicity 4)  4 Zr 3.18, 4 Y 3.18
Pb: 0.2500 0.2500 0.7500 (multiplicity 4)  4 Zr 3.18, 4 Y 3.18